1.
A plane-wave DFT calculation with PBE was carried out for a geometry-optimized Na2BH6 structure.

Calculated values
The electronic total energy comes out at -3.09 eV/atom. The total magnetic moment comes out at 0.0 μB/f.u. For the distance to the lowest polymorph of the same formula, the calculation gives 22 meV/atom.

Cell lengths 4.666, 4.666, 4.666 Å; angles 60.00, 60.00, 60.00 degrees
Sites, in units of the cell vectors:
Na  0.250  0.250  0.250
Na  0.750  0.750  0.750
H  0.214  0.786  0.214
H  0.786  0.214  0.786
H  0.214  0.214  0.786
H  0.214  0.786  0.786
H  0.786  0.214  0.214
H  0.786  0.786  0.214
B  0.000  0.000  0.000

=====

2.
A plane-wave DFT calculation with PBE was carried out for a geometry-optimized SrHo2Ga4 structure.

Calculated values
The electronic total energy comes out at -3.81 eV/atom. The total magnetic moment comes out at 0.0 μB/f.u. Its formation energy is -3.74 eV per formula unit.

Cell lengths 4.167, 4.436, 9.755 Å; angles 103.14, 102.33, 90.00 degrees
Sites, in units of the cell vectors:
Ga  0.348  0.348  0.696
Ga  0.070  0.570  0.139
Ga  0.930  0.430  0.861
Ga  0.652  0.652  0.304
Ho  0.814  0.814  0.628
Ho  0.186  0.186  0.372
Sr  0.500  0.000  0.000

=====

3.
A plane-wave DFT calculation with PBE was carried out for a geometry-optimized Ga2PdPt2 structure.

Calculated values
The electronic total energy comes out at -5.25 eV/atom. The total magnetic moment comes out at 0.0 μB/f.u. For the distance to the lowest polymorph of the same formula, the calculation gives 6 meV/atom. Its formation energy is -2.94 eV per formula unit.

Cell lengths 4.260, 4.260, 5.458 Å; angles 67.28, 67.28, 60.09 degrees
Sites, in units of the cell vectors:
Pt  0.219  0.719  0.345
Pt  0.781  0.281  0.655
Ga  0.599  0.099  0.204
Ga  0.401  0.901  0.796
Pd  0.000  0.500  0.000

=====

4.
A plane-wave DFT calculation with PBE was carried out for a geometry-optimized HfCdReCl2 structure.

Calculated values
The electronic total energy comes out at -4.06 eV/atom. The total magnetic moment comes out at 3.0 μB/f.u. For the formation energy (no corrections), the calculation gives 1.35 eV per atom.

Cell lengths 4.781, 6.281, 4.781 Å; angles 90.00, 90.00, 90.00 degrees
Sites, in units of the cell vectors:
Cl  0.500  0.000  0.000
Cl  0.000  0.000  0.500
Hf  0.000  0.500  0.000
Cd  0.000  0.000  0.000
Re  0.500  0.500  0.500

=====

5.
A plane-wave DFT calculation with PBE was carried out for a geometry-optimized Ca2MgUAs4 structure.

Calculated values
The electronic total energy comes out at -5.29 eV/atom. The total magnetic moment comes out at 0.1 μB/f.u. Its formation energy is -6.81 eV per formula unit.

Cell lengths 4.199, 6.897, 7.238 Å; angles 109.64, 90.00, 90.00 degrees
Sites, in units of the cell vectors:
As  0.000  0.752  0.225
As  0.500  0.233  0.225
As  0.500  0.767  0.775
As  0.000  0.248  0.775
Ca  0.000  0.500  0.500
Ca  0.500  0.000  0.500
Mg  0.500  0.500  0.000
U  0.000  0.000  0.000

=====

6.
A plane-wave DFT calculation with PBE was carried out for a geometry-optimized LiMgCo2 structure.

Calculated values
The electronic total energy comes out at -4.20 eV/atom. The total magnetic moment comes out at 2.8 μB/f.u. Its formation energy is 0.94 eV per formula unit.

Cell lengths 2.564, 4.094, 5.004 Å; angles 90.00, 90.00, 90.00 degrees
Sites, in units of the cell vectors:
Mg  0.500  0.500  0.750
Co  0.000  0.000  0.494
Co  0.000  0.000  0.006
Li  0.500  0.500  0.250

=====

7.
A plane-wave DFT calculation with PBE was carried out for a geometry-optimized CdTc2Ru structure.

Calculated values
The electronic total energy comes out at -7.38 eV/atom. The total magnetic moment comes out at 0.0 μB/f.u. Its formation energy is 1.41 eV per formula unit.

Cell lengths 4.936, 4.936, 4.790 Å; angles 78.52, 78.52, 33.37 degrees
Sites, in units of the cell vectors:
Tc  0.986  0.986  0.029
Tc  0.514  0.514  0.471
Ru  0.250  0.250  0.250
Cd  0.750  0.750  0.750

=====

8.
A plane-wave DFT calculation with PBE was carried out for a geometry-optimized Ho5In4Hg structure.

Calculated values
The electronic total energy comes out at -3.87 eV/atom. The total magnetic moment comes out at 0.0 μB/f.u. Its formation energy is -4.57 eV per formula unit.

Cell lengths 3.720, 3.720, 18.891 Å; angles 90.00, 90.00, 90.00 degrees
Sites, in units of the cell vectors:
Ho  0.500  0.500  0.500
Ho  0.500  0.500  0.701
Ho  0.500  0.500  0.904
Ho  0.500  0.500  0.096
Ho  0.500  0.500  0.299
In  0.000  0.000  0.197
In  0.000  0.000  0.600
In  0.000  0.000  0.803
In  0.000  0.000  0.400
Hg  0.000  0.000  0.000

=====

9.
A plane-wave DFT calculation with PBE was carried out for a geometry-optimized InRuIN2 structure.

Calculated values
The electronic total energy comes out at -3.80 eV/atom. The total magnetic moment comes out at 1.8 μB/f.u. For the distance to the lowest polymorph of the same formula, the calculation gives 1200 meV/atom. For the formation energy (no corrections), the calculation gives 2.24 eV per atom.

Cell lengths 3.956, 7.271, 3.956 Å; angles 90.00, 90.00, 90.00 degrees
Sites, in units of the cell vectors:
I  0.000  0.000  0.000
Ru  0.500  0.500  0.500
N  0.500  0.000  0.000
N  0.000  0.000  0.500
In  0.000  0.500  0.000

=====

10.
A plane-wave DFT calculation with PBE was carried out for a geometry-optimized Dy2HfCd structure.

Calculated values
The electronic total energy comes out at -4.98 eV/atom. The total magnetic moment comes out at 0.0 μB/f.u. For the distance to the lowest polymorph of the same formula, the calculation gives 134 meV/atom. Its formation energy is 0.16 eV per formula unit.

Cell lengths 3.440, 5.501, 5.501 Å; angles 90.00, 90.00, 90.00 degrees
Sites, in units of the cell vectors:
Cd  0.500  0.500  0.500
Hf  0.500  0.000  0.000
Dy  0.000  0.000  0.500
Dy  0.000  0.500  0.000

=====

11.
A plane-wave DFT calculation with PBE was carried out for a geometry-optimized CdGaF2 structure.

Calculated values
The electronic total energy comes out at -3.26 eV/atom. The total magnetic moment comes out at 0.0 μB/f.u. For the distance to the lowest polymorph of the same formula, the calculation gives 42 meV/atom. For the formation energy (no corrections), the calculation gives -1.34 eV per atom.

Cell lengths 5.893, 5.893, 6.498 Å; angles 63.04, 63.04, 90.00 degrees
Sites, in units of the cell vectors:
F  0.375  0.351  0.750
F  0.649  0.125  0.250
F  0.101  0.625  0.250
F  0.875  0.899  0.750
Ga  0.250  0.750  0.500
Ga  0.500  0.500  0.000
Cd  0.000  0.000  0.000
Cd  0.750  0.250  0.500

=====

12.
A plane-wave DFT calculation with PBE was carried out for a geometry-optimized YPu2Te4 structure.

Calculated values
The electronic total energy comes out at -7.95 eV/atom. The total magnetic moment comes out at 11.0 μB/f.u. For the distance to the lowest polymorph of the same formula, the calculation gives 0 meV/atom. For the formation energy (no corrections), the calculation gives -1.14 eV per atom.

Cell lengths 4.416, 8.467, 7.792 Å; angles 63.52, 89.99, 74.86 degrees
Sites, in units of the cell vectors:
Te  0.120  0.760  0.439
Te  0.630  0.740  0.979
Te  0.880  0.240  0.561
Te  0.370  0.260  0.021
Pu  0.736  0.527  0.726
Pu  0.264  0.473  0.274
Y  0.000  0.000  0.000